The following is a PBE calculation of a relaxed AcAgC3N6 crystal, from Alexandria.

Results
Formation energy (no corrections)   0.001 eV/atom
Uncorrected energy   -84.58 eV per formula unit
Volume   203.18 Å³/cell

abc: 6.300 6.300 6.300
angles: 107.86 107.86 107.86
Element x y z (fractional)
Ac: 0.000 0.000 0.000
Ag: 0.500 0.500 0.500
C: 0.000 0.500 0.500
C: 0.500 0.000 0.500
C: 0.500 0.500 0.000
N: 0.073 0.375 0.375
N: 0.375 0.073 0.375
N: 0.375 0.375 0.073
N: 0.625 0.625 0.927
N: 0.625 0.927 0.625
N: 0.927 0.625 0.625